1.
# LaTb2Tc (PBE, relaxed)
data_LaTb2Tc
_chemical_formula_sum 'La4 Tb8 Tc4'
_cell_length_a 6.5083
_cell_length_b 7.4016
_cell_length_c 9.4255
_cell_angle_alpha 90.00
_cell_angle_beta 90.00
_cell_angle_gamma 90.00
_symmetry_space_group_name_H-M 'P 1'
_symmetry_Int_Tables_number 1
loop_
_symmetry_equiv_pos_as_xyz
'x,y,z'
loop_
_atom_site_label
_atom_site_fract_x
_atom_site_fract_y
_atom_site_fract_z
Tb1 0.1643 0.6750 0.0668
Tb2 0.1643 0.6750 0.4332
Tb3 0.3357 0.1750 0.0668
Tb4 0.3357 0.1750 0.4332
Tb5 0.8357 0.3250 0.5668
Tb6 0.8357 0.3250 0.9332
Tb7 0.6643 0.8250 0.9332
Tb8 0.6643 0.8250 0.5668
La1 0.8710 0.0552 0.2500
La2 0.3710 0.4448 0.7500
La3 0.1290 0.9448 0.7500
La4 0.6290 0.5552 0.2500
Tc1 0.4758 0.8767 0.2500
Tc2 0.9758 0.6233 0.7500
Tc3 0.0242 0.3767 0.2500
Tc4 0.5242 0.1233 0.7500
# Offset from the most stable computed form ... 0.00 eV per formula unit
# Final energy ... -0.229 Ha/atom
# Formation energy from the elements ... -0.083 eV per atom
# ρ ... 8.115 g/cm³
# Total magnetic moment ... 0.00 μB/cell


2.
# La2Tb2Tc (PBE, relaxed)
data_La2Tb2Tc
_chemical_formula_sum 'La4 Tb4 Tc2'
_cell_length_a 4.9708
_cell_length_b 4.9708
_cell_length_c 13.0760
_cell_angle_alpha 100.96
_cell_angle_beta 100.96
_cell_angle_gamma 90.00
_symmetry_space_group_name_H-M 'P 1'
_symmetry_Int_Tables_number 1
loop_
_symmetry_equiv_pos_as_xyz
'x,y,z'
loop_
_atom_site_label
_atom_site_fract_x
_atom_site_fract_y
_atom_site_fract_z
Tc1 0.5000 0.5000 0.0000
Tc2 0.7500 0.2500 0.5000
La1 0.6870 0.6870 0.3741
La2 0.9370 0.4370 0.8741
La3 0.3130 0.3130 0.6259
La4 0.5630 0.0630 0.1259
Tb1 0.8201 0.8201 0.6401
Tb2 0.0701 0.5701 0.1401
Tb3 0.4299 0.9299 0.8599
Tb4 0.1799 0.1799 0.3599
# Final energy ... -0.213 Ha/atom
# Formation energy from the elements ... 0.087 eV per atom
# ρ ... 7.403 g/cm³
# Total magnetic moment ... 0.00 μB/cell


3.
# LaTb2Tc (PBE, relaxed)
data_LaTb2Tc
_chemical_formula_sum 'La1 Tb2 Tc1'
_cell_length_a 3.4582
_cell_length_b 3.4582
_cell_length_c 11.1951
_cell_angle_alpha 81.11
_cell_angle_beta 81.11
_cell_angle_gamma 60.00
_symmetry_space_group_name_H-M 'P 1'
_symmetry_Int_Tables_number 1
loop_
_symmetry_equiv_pos_as_xyz
'x,y,z'
loop_
_atom_site_label
_atom_site_fract_x
_atom_site_fract_y
_atom_site_fract_z
Tc1 0.5000 0.5000 0.5000
La1 0.0000 0.0000 0.0000
Tb1 0.1057 0.1057 0.6828
Tb2 0.8943 0.8943 0.3172
# Offset from the most stable computed form ... 1.32 eV per formula unit
# Final energy ... -0.217 Ha/atom
# Formation energy from the elements ... 0.246 eV per atom
# ρ ... 8.074 g/cm³
# Total magnetic moment ... 0.00 μB/cell


Repeat the second record exactly.
# La2Tb2Tc (PBE, relaxed)
data_La2Tb2Tc
_chemical_formula_sum 'La4 Tb4 Tc2'
_cell_length_a 4.9708
_cell_length_b 4.9708
_cell_length_c 13.0760
_cell_angle_alpha 100.96
_cell_angle_beta 100.96
_cell_angle_gamma 90.00
_symmetry_space_group_name_H-M 'P 1'
_symmetry_Int_Tables_number 1
loop_
_symmetry_equiv_pos_as_xyz
'x,y,z'
loop_
_atom_site_label
_atom_site_fract_x
_atom_site_fract_y
_atom_site_fract_z
Tc1 0.5000 0.5000 0.0000
Tc2 0.7500 0.2500 0.5000
La1 0.6870 0.6870 0.3741
La2 0.9370 0.4370 0.8741
La3 0.3130 0.3130 0.6259
La4 0.5630 0.0630 0.1259
Tb1 0.8201 0.8201 0.6401
Tb2 0.0701 0.5701 0.1401
Tb3 0.4299 0.9299 0.8599
Tb4 0.1799 0.1799 0.3599
# Final energy ... -0.213 Ha/atom
# Formation energy from the elements ... 0.087 eV per atom
# ρ ... 7.403 g/cm³
# Total magnetic moment ... 0.00 μB/cell